Entry 1:
VASP calculation (PBE-GGA) on a geometry-optimized Tb5Ag4Rh structure.

Properties
Calculated formation energy = -0.4182 eV/atom
SG = P4/mmm (123)
Total moment = 0.0 μB per formula unit
Calculated volume = 235 Å³ per cell

Cell: 3.5829 3.5829 18.2975 Å, 90.00 90.00 90.00°
Atoms (fractional coordinates):
1 Tb 0.0000 0.0000 0.0000
2 Tb 0.0000 0.0000 0.2049
3 Tb 0.0000 0.0000 0.4105
4 Tb 0.0000 0.0000 0.5895
5 Tb 0.0000 0.0000 0.7951
6 Ag 0.5000 0.5000 0.1020
7 Ag 0.5000 0.5000 0.3055
8 Ag 0.5000 0.5000 0.6945
9 Ag 0.5000 0.5000 0.8980
10 Rh 0.5000 0.5000 0.5000


Entry 2:
VASP calculation (PBE-GGA) on a geometry-optimized TbEr12Ni6 structure.

Properties
Calculated formation energy = -0.2565 eV/atom
SG = Im-3 (204)
Total moment = 0.0 μB per formula unit
Calculated volume = 464 Å³ per cell

Cell: 8.4444 8.4444 8.4444 Å, 109.47 109.47 109.47°
Atoms (fractional coordinates):
1 Tb 0.0000 0.0000 0.0000
2 Er 0.1266 0.3107 0.8159
3 Er 0.1841 0.4949 0.3107
4 Er 0.1841 0.8734 0.6893
5 Er 0.3107 0.1841 0.4949
6 Er 0.3107 0.8159 0.1266
7 Er 0.4949 0.3107 0.1841
8 Er 0.5051 0.6893 0.8159
9 Er 0.6893 0.1841 0.8734
10 Er 0.6893 0.8159 0.5051
11 Er 0.8159 0.1266 0.3107
12 Er 0.8159 0.5051 0.6893
13 Er 0.8734 0.6893 0.1841
14 Ni 0.1241 0.5000 0.6241
15 Ni 0.3759 0.8759 0.5000
16 Ni 0.5000 0.3759 0.8759
17 Ni 0.5000 0.6241 0.1241
18 Ni 0.6241 0.1241 0.5000
19 Ni 0.8759 0.5000 0.3759